(1)
Ac3Cd2Pd3 | PBE-GGA | optimized geometry

The theoretical density is 9.30 g cm⁻³. The value obtained for the calculated formation energy is -0.6021 eV/atom. The value obtained for the total energy is -4.319 eV per atom.

a = 6.1495 Å, b = 9.0617 Å, c = 9.0617 Å
α = 120.00°, β = 90.00°, γ = 90.00°
With the nearest neighbours (Å) after each atom.
Atoms (fractional coordinates):
Ac 0.7500 0.2838 0.0000  5 Pd 3.00-3.21
Ac 0.7500 0.7162 0.7162  5 Pd 3.00-3.21
Ac 0.7500 0.0000 0.2838  5 Pd 3.00-3.21
Ac 0.2500 0.7162 0.0000  5 Pd 3.00-3.21
Ac 0.2500 0.2838 0.2838  5 Pd 3.00-3.21
Ac 0.2500 0.0000 0.7162  5 Pd 3.00-3.21
Cd 0.0000 0.3333 0.6667  2 Cd 3.07, 6 Pd 3.21
Cd 0.5000 0.6667 0.3333  2 Cd 3.07, 6 Pd 3.21
Cd 0.0000 0.6667 0.3333  2 Cd 3.07, 6 Pd 3.21
Cd 0.5000 0.3333 0.6667  2 Cd 3.07, 6 Pd 3.21
Pd 0.7500 0.6148 0.0000  5 Ac 3.00-3.21, 4 Cd 3.21
Pd 0.7500 0.3852 0.3852  5 Ac 3.00-3.21, 4 Cd 3.21
Pd 0.7500 0.0000 0.6148  5 Ac 3.00-3.21, 4 Cd 3.21
Pd 0.2500 0.3852 0.0000  5 Ac 3.00-3.21, 4 Cd 3.21
Pd 0.2500 0.6148 0.6148  5 Ac 3.00-3.21, 4 Cd 3.21
Pd 0.2500 0.0000 0.3852  5 Ac 3.00-3.21, 4 Cd 3.21



(2)
Mg2Tl | PBE-GGA | optimized geometry

The theoretical density is 5.46 g cm⁻³. The value obtained for the calculated formation energy is 0.0670 eV/atom. The value obtained for the total energy is -1.785 eV per atom.

a = 14.0711 Å, b = 14.0711 Å, c = 14.0711 Å
α = 166.41°, β = 166.41°, γ = 19.27°
With the nearest neighbours (Å) after each atom.
Atoms (fractional coordinates):
Mg 0.5782 0.5782 0.0000  6 Mg 3.09-3.33, 4 Tl 3.20
Mg 0.6718 0.1718 0.5000  6 Mg 3.09-3.33, 4 Tl 3.20
Mg 0.4218 0.4218 0.0000  6 Mg 3.09-3.33, 4 Tl 3.20
Mg 0.8282 0.3282 0.5000  6 Mg 3.09-3.33, 4 Tl 3.20
Tl 0.0000 0.0000 0.0000  8 Mg 3.20, 4 Tl 3.33
Tl 0.2500 0.7500 0.5000  8 Mg 3.20, 4 Tl 3.33



(3)
ZrInNi | PBE-GGA | optimized geometry

The theoretical density is 8.03 g cm⁻³. The value obtained for the calculated formation energy is -0.4316 eV/atom. The value obtained for the total energy is -6.121 eV per atom.

a = 3.4581 Å, b = 7.4124 Å, c = 12.8170 Å
α = 90.00°, β = 90.00°, γ = 90.00°
With the nearest neighbours (Å) after each atom.
Atoms (fractional coordinates):
Zr 0.0000 0.2091 0.9510  4 Ni 2.70-2.73
Zr 0.0000 0.7909 0.0490  4 Ni 2.70-2.73
Zr 0.0000 0.2091 0.5490  4 Ni 2.70-2.73
Zr 0.0000 0.7909 0.4510  4 Ni 2.70-2.73
Zr 0.0000 0.1647 0.2500  5 Ni 2.78-2.92, 2 In 3.05
Zr 0.0000 0.8353 0.7500  5 Ni 2.78-2.92, 2 In 3.05
In 0.5000 0.4328 0.1128  3 Ni 2.64-2.73
In 0.5000 0.5672 0.8872  3 Ni 2.64-2.73
In 0.5000 0.4328 0.3872  3 Ni 2.64-2.73
In 0.5000 0.5672 0.6128  3 Ni 2.64-2.73
In 0.5000 0.8258 0.2500  4 Ni 2.63-2.72
In 0.5000 0.1742 0.7500  4 Ni 2.63-2.72
Ni 0.5000 0.0666 0.0904  1 Ni 2.52, 6 Zr 2.70-2.78, 2 In 2.72-2.73
Ni 0.5000 0.9334 0.9096  1 Ni 2.52, 6 Zr 2.70-2.78, 2 In 2.72-2.73
Ni 0.5000 0.0666 0.4096  1 Ni 2.52, 6 Zr 2.70-2.78, 2 In 2.72-2.73
Ni 0.5000 0.9334 0.5904  1 Ni 2.52, 6 Zr 2.70-2.78, 2 In 2.72-2.73
Ni 0.0000 0.5581 0.2500  6 In 2.63-2.64, 1 Zr 2.92
Ni 0.0000 0.4419 0.7500  6 In 2.63-2.64, 1 Zr 2.92